# 1
The following is a GGA-PBE calculation of crystalline Hf9Mo4P at its relaxed geometry, from OQMD.

Lattice parameters (Å, degrees): 8.632 8.632 8.615 90.00 90.00 120.00
Positions (direct):
Hf  0.078  0.539  0.250
Hf  0.198  0.396  0.547
Hf  0.198  0.396  0.953
Hf  0.198  0.802  0.547
Hf  0.198  0.802  0.953
Hf  0.396  0.198  0.047
Hf  0.396  0.198  0.453
Hf  0.461  0.539  0.250
Hf  0.461  0.922  0.250
Hf  0.539  0.078  0.750
Hf  0.539  0.461  0.750
Hf  0.604  0.802  0.547
Hf  0.604  0.802  0.953
Hf  0.802  0.198  0.047
Hf  0.802  0.198  0.453
Hf  0.802  0.604  0.047
Hf  0.802  0.604  0.453
Hf  0.922  0.461  0.750
Mo  0.000  0.000  0.000
Mo  0.000  0.000  0.500
Mo  0.110  0.221  0.250
Mo  0.110  0.890  0.250
Mo  0.221  0.110  0.750
Mo  0.779  0.890  0.250
Mo  0.890  0.110  0.750
Mo  0.890  0.779  0.750
P  0.333  0.667  0.750
P  0.667  0.333  0.250

Mass density, kg/m³: 12075
Final energy, eV/cell: -285.40
M_tot, μB per cell: 0.01

---

# 2
The following is a GGA-PBE calculation of crystalline HfMoP at its relaxed geometry, from OQMD.

Lattice parameters (Å, degrees): 4.629 4.629 5.209 90.00 90.00 120.00
Positions (direct):
Hf  0.333  0.667  0.250
Hf  0.667  0.333  0.750
Mo  0.000  0.000  0.000
Mo  0.000  0.000  0.500
P  0.333  0.667  0.750
P  0.667  0.333  0.250

Energy above the lowest structure with this stoichiometry, eV per atom: 0.667
Mass density, kg/m³: 10494
Final energy, eV/cell: -54.23
M_tot, μB per cell: 0.23

---

# 3
The following is a GGA-PBE calculation of crystalline HfMoP at its relaxed geometry, from OQMD.

Lattice parameters (Å, degrees): 4.341 4.341 5.998 90.00 90.00 120.00
Positions (direct):
Hf  0.000  0.000  0.000
Hf  0.000  0.000  0.500
Mo  0.333  0.667  0.295
Mo  0.667  0.333  0.795
P  0.333  0.667  0.715
P  0.667  0.333  0.215

Energy above the lowest structure with this stoichiometry, eV per atom: 0.592
Mass density, kg/m³: 10362
Final energy, eV/cell: -54.68
M_tot, μB per cell: 0.00

---

# 4
The following is a GGA-PBE calculation of crystalline HfMoP at its relaxed geometry, from OQMD.

Lattice parameters (Å, degrees): 7.070 7.070 3.351 90.00 90.00 120.00
Positions (direct):
Hf  0.000  0.266  0.000
Hf  0.266  0.000  0.000
Hf  0.734  0.734  0.000
Mo  0.000  0.599  0.500
Mo  0.401  0.401  0.500
Mo  0.599  0.000  0.500
P  0.000  0.000  0.500
P  0.333  0.667  0.000
P  0.667  0.333  0.000

Energy above the lowest structure with this stoichiometry, eV per atom: 0.543
Mass density, kg/m³: 10487
Final energy, eV/cell: -82.46
M_tot, μB per cell: 0.03

---

# 5
The following is a GGA-PBE calculation of crystalline HfMoP at its relaxed geometry, from OQMD.

Lattice parameters (Å, degrees): 7.076 7.076 3.441 90.00 90.00 120.00
Positions (direct):
Hf  0.000  0.598  0.000
Hf  0.402  0.402  0.000
Hf  0.598  0.000  0.000
Mo  0.000  0.000  0.000
Mo  0.333  0.667  0.500
Mo  0.667  0.333  0.500
P  0.000  0.272  0.500
P  0.272  0.000  0.500
P  0.728  0.728  0.500

Energy above the lowest structure with this stoichiometry, eV per atom: 0.611
Mass density, kg/m³: 10198
Final energy, eV/cell: -81.85
M_tot, μB per cell: 0.01

---

# 6
The following is a GGA-PBE calculation of crystalline HfMoP at its relaxed geometry, from OQMD.

Lattice parameters (Å, degrees): 6.860 3.447 8.053 90.00 90.00 90.00
Positions (direct):
Hf  0.034  0.250  0.170
Hf  0.466  0.750  0.670
Hf  0.534  0.250  0.330
Hf  0.966  0.750  0.830
Mo  0.145  0.250  0.561
Mo  0.355  0.750  0.061
Mo  0.645  0.250  0.939
Mo  0.855  0.750  0.439
P  0.237  0.750  0.357
P  0.263  0.250  0.857
P  0.737  0.750  0.143
P  0.763  0.250  0.643

Energy above the lowest structure with this stoichiometry, eV per atom: 0.091
Mass density, kg/m³: 10653
Final energy, eV/cell: -115.36
M_tot, μB per cell: 0.02

---

# 7
The following is a GGA-PBE calculation of crystalline HfSbMoP at its relaxed geometry, from OQMD.

Lattice parameters (Å, degrees): 3.813 3.813 12.258 90.00 90.00 120.00
Positions (direct):
Hf  0.000  0.000  0.160
Hf  0.000  0.000  0.840
Sb  0.000  0.000  0.500
Sb  0.333  0.667  0.000
Mo  0.333  0.667  0.350
Mo  0.333  0.667  0.650
P  0.667  0.333  0.271
P  0.667  0.333  0.729

Mass density, kg/m³: 9193
Final energy, eV/cell: -64.80
M_tot, μB per cell: 1.60

---

# 8
The following is a GGA-PBE calculation of crystalline HfMo2Pb at its relaxed geometry, from OQMD.

Lattice parameters (Å, degrees): 4.743 4.743 4.743 60.00 60.00 60.00
Positions (direct):
Hf  0.000  0.000  0.000
Mo  0.250  0.250  0.250
Mo  0.500  0.500  0.500
Pb  0.750  0.750  0.750

Mass density, kg/m³: 12711
Final energy, eV/cell: -33.60
M_tot, μB per cell: 0.07

---

Question: Which value of mass density does entry 7 give?
Answer: 9193 kg/m³